Record 1
DFT (PBE) results for an optimized crystal structure of RbThAl. Values from VASP.

Geometry as Quantum ESPRESSO input:
```
&SYSTEM
  ibrav = 0, nat = 3, ntyp = 3
/
ATOMIC_SPECIES
Al 26.98 Al.upf
Rb 85.47 Rb.upf
Th 232.04 Th.upf
CELL_PARAMETERS angstrom
0.0667 -3.1172 4.4369
-2.1829 1.8136 4.6210
-4.6088 -2.1720 1.8573
ATOMIC_POSITIONS angstrom
Al 0.0000 0.0000 0.0000
Rb -1.6812 -0.8689 2.7288
Th -5.0437 -2.6067 8.1865
```

Its final energy is -9.5 eV/cell. As for the calculated volume: 112.8 Å³/f.u. As for the density: 5.07 g/cm3.

=====

Record 2
DFT (PBE) results for an optimized crystal structure of RbTmAl. Values from VASP.

Geometry as Quantum ESPRESSO input:
```
&SYSTEM
  ibrav = 0, nat = 3, ntyp = 3
/
ATOMIC_SPECIES
Al 26.98 Al.upf
Rb 85.47 Rb.upf
Tm 168.93 Tm.upf
CELL_PARAMETERS angstrom
0.0000 3.7744 3.7744
3.7744 0.0000 3.7744
3.7744 3.7744 0.0000
ATOMIC_POSITIONS angstrom
Al 1.8872 1.8872 1.8872
Rb 5.6616 5.6616 5.6616
Tm 0.0000 0.0000 0.0000
```

Its final energy is -6.7 eV/cell. As for the calculated volume: 107.5 Å³/f.u. As for the density: 4.34 g/cm3.

=====

Record 3
DFT (PBE) results for an optimized crystal structure of RbAlW. Values from VASP.

Geometry as Quantum ESPRESSO input:
```
&SYSTEM
  ibrav = 0, nat = 3, ntyp = 3
/
ATOMIC_SPECIES
Al 26.98 Al.upf
Rb 85.47 Rb.upf
W 183.84 W.upf
CELL_PARAMETERS angstrom
4.7733 0.2590 -0.8847
2.6971 -4.0447 0.0109
1.7967 -1.7347 -4.1710
ATOMIC_POSITIONS angstrom
Al 2.3168 -1.3801 -1.2612
Rb 6.9504 -4.1404 -3.7836
W 0.0000 0.0000 0.0000
```

As for the calculated volume: 81.2 Å³/f.u. As for the density: 6.06 g/cm3. The value obtained for the excess energy over the best structure of this formula in the dataset is 0.000 eV/f.u.

=====

Record 4
DFT (PBE) results for an optimized crystal structure of RbAlW. Values from VASP.

Geometry as Quantum ESPRESSO input:
```
&SYSTEM
  ibrav = 0, nat = 3, ntyp = 3
/
ATOMIC_SPECIES
Al 26.98 Al.upf
Rb 85.47 Rb.upf
W 183.84 W.upf
CELL_PARAMETERS angstrom
-4.7384 -0.9629 -2.2410
-4.2963 2.7328 1.5732
-2.1961 3.6121 -3.2452
ATOMIC_POSITIONS angstrom
Al -2.8077 1.3455 -0.9783
Rb 0.0000 0.0000 0.0000
W -8.4231 4.0365 -2.9348
```

As for the calculated volume: 107.0 Å³/f.u. As for the density: 4.60 g/cm3. The value obtained for the excess energy over the best structure of this formula in the dataset is 2.156 eV/f.u.

=====

Record 5
DFT (PBE) results for an optimized crystal structure of RbZrAl. Values from VASP.

Geometry as Quantum ESPRESSO input:
```
&SYSTEM
  ibrav = 0, nat = 3, ntyp = 3
/
ATOMIC_SPECIES
Al 26.98 Al.upf
Rb 85.47 Rb.upf
Zr 91.22 Zr.upf
CELL_PARAMETERS angstrom
0.0000 3.6958 3.6958
3.6958 0.0000 3.6958
3.6958 3.6958 0.0000
ATOMIC_POSITIONS angstrom
Al 0.0000 0.0000 0.0000
Rb 1.8479 1.8479 1.8479
Zr 5.5437 5.5437 5.5437
```

As for the calculated volume: 101.0 Å³/f.u. As for the density: 3.35 g/cm3. The value obtained for the excess energy over the best structure of this formula in the dataset is 0.000 eV/f.u.

=====

Record 6
DFT (PBE) results for an optimized crystal structure of RbZrAl. Values from VASP.

Geometry as Quantum ESPRESSO input:
```
&SYSTEM
  ibrav = 0, nat = 3, ntyp = 3
/
ATOMIC_SPECIES
Al 26.98 Al.upf
Rb 85.47 Rb.upf
Zr 91.22 Zr.upf
CELL_PARAMETERS angstrom
0.0000 3.5722 3.5722
3.5722 0.0000 3.5722
3.5722 3.5722 0.0000
ATOMIC_POSITIONS angstrom
Al 1.7861 1.7861 1.7861
Rb 0.0000 0.0000 0.0000
Zr 5.3583 5.3583 5.3583
```

As for the calculated volume: 91.2 Å³/f.u. As for the density: 3.71 g/cm3. The value obtained for the excess energy over the best structure of this formula in the dataset is 1.733 eV/f.u.

=====

What is the calculated volume in the fourth record? 107.0 Å³/f.u.